No. 1
DFT (PBE-GGA) results for crystalline Zr2NiRu at its relaxed geometry.

Geometry as POSCAR:
```
Zr2NiRu
1.0
7.097 0.000 0.000
0.000 7.097 0.000
3.549 3.549 2.878
Ni Zr Ru
2 4 2
Direct
0.250 0.750 0.500
0.500 0.500 0.000
0.128 0.625 0.250
0.875 0.872 0.750
0.375 0.378 0.750
0.622 0.125 0.250
0.000 0.000 0.000
0.750 0.250 0.500
```

Calculated values
energy relative to the lowest polymorph listed for this composition: 472 meV per atom
DFT total energy: -8.0476 eV/atom
formation energy: -0.009 eV per atom

No. 2
DFT (PBE-GGA) results for crystalline ZrNiRu2 at its relaxed geometry.

Geometry as POSCAR:
```
ZrNiRu2
1.0
-2.543 2.889 2.257
-2.226 -0.683 -1.633
-1.636 -3.603 2.767
Zr Ni Ru
1 1 2
Direct
0.500 0.250 0.250
0.500 0.750 0.750
0.000 0.946 0.980
0.000 0.554 0.520
```

Calculated values
DFT total energy: -8.2211 eV/atom
formation energy: -0.001 eV per atom

No. 3
DFT (PBE-GGA) results for crystalline Zr2Ni2Ru at its relaxed geometry.

Geometry as POSCAR:
```
Zr2Ni2Ru
1.0
4.796 0.000 0.000
0.000 4.796 0.000
2.398 2.398 3.738
Ni Zr Ru
2 2 1
Direct
0.642 0.642 0.716
0.358 0.358 0.284
0.250 0.750 0.500
0.750 0.250 0.500
0.000 0.000 0.000
```

Calculated values
energy relative to the lowest polymorph listed for this composition: 307 meV per atom
DFT total energy: -7.6495 eV/atom
formation energy: -0.063 eV per atom

- Which of these has the highest DFT total energy?
  Zr2Ni2Ru

Copy entry 3 word for word.
DFT (PBE-GGA) results for crystalline Zr2Ni2Ru at its relaxed geometry.

Geometry as POSCAR:
```
Zr2Ni2Ru
1.0
4.796 0.000 0.000
0.000 4.796 0.000
2.398 2.398 3.738
Ni Zr Ru
2 2 1
Direct
0.642 0.642 0.716
0.358 0.358 0.284
0.250 0.750 0.500
0.750 0.250 0.500
0.000 0.000 0.000
```

Calculated values
energy relative to the lowest polymorph listed for this composition: 307 meV per atom
DFT total energy: -7.6495 eV/atom
formation energy: -0.063 eV per atom